# 1
Material: Ba2NaZn2
Method: DFT, PBEsol
State: relaxed

Cell and atoms, written as POSCAR:
```
Ba2NaZn2
1.0
-4.222 0.425 1.076
1.413 -4.672 7.388
1.865 7.473 4.369
Ba Zn Na
4 4 2
direct
0.500 0.677 0.823 Ba
0.500 0.823 0.323 Ba
0.500 0.323 0.177 Ba
0.500 0.177 0.677 Ba
0.000 0.890 0.610 Zn
0.000 0.390 0.890 Zn
0.000 0.610 0.110 Zn
0.000 0.110 0.390 Zn
0.000 0.000 0.000 Na
0.000 0.500 0.500 Na
```

Calculated values
Excess energy over the best structure of this formula in the dataset ... 0.00 kcal/mol of atoms
Total magnetic moment ... 0.00 μB/f.u.
E_tot ... -18.33 eV/cell
Formation enthalpy at 0 K ... -1.408 kcal/mol of atoms
SG ... P4/mbm, No. 127

---

# 2
Material: Ba2NaZn2
Method: DFT, PBEsol
State: relaxed

Cell and atoms, written as POSCAR:
```
Ba2NaZn2
1.0
-3.468 -0.466 2.020
-1.772 -1.377 -3.360
5.579 -9.449 3.358
Zn Na Ba
2 1 2
direct
0.750 0.250 0.500 Zn
0.250 0.750 0.500 Zn
0.000 0.000 0.000 Na
0.632 0.632 0.263 Ba
0.368 0.368 0.737 Ba
```

Calculated values
Excess energy over the best structure of this formula in the dataset ... 3.04 kcal/mol of atoms
Total magnetic moment ... 0.00 μB/f.u.
E_tot ... -8.51 eV/cell
Formation enthalpy at 0 K ... 1.628 kcal/mol of atoms
SG ... I4/mmm, No. 139

---

# 3
Material: Ba3NaZn
Method: DFT, PBEsol
State: relaxed

Cell and atoms, written as POSCAR:
```
Ba3NaZn
1.0
6.430 0.000 0.000
0.000 6.430 0.000
0.000 0.000 6.430
Ba Zn Na
3 1 1
direct
0.000 0.500 0.000 Ba
0.000 0.000 0.500 Ba
0.500 0.000 0.000 Ba
0.000 0.000 0.000 Zn
0.500 0.500 0.500 Na
```

Calculated values
Total magnetic moment ... 0.00 μB/f.u.
E_tot ... -9.20 eV/cell
Formation enthalpy at 0 K ... 1.043 kcal/mol of atoms
SG ... Pm-3m, No. 221

---

# 4
Material: Ba2Nb5O9
Method: DFT, PBEsol
State: relaxed

Cell and atoms, written as POSCAR:
```
Ba2Nb5O9
1.0
-2.166 -1.281 -3.343
-1.837 -2.956 2.323
-8.999 7.819 2.834
O Nb Ba
9 5 2
direct
0.000 0.500 0.000 O
0.000 0.000 0.500 O
0.500 0.000 0.673 O
0.500 0.000 0.327 O
0.500 0.500 0.162 O
0.000 0.500 0.673 O
0.500 0.500 0.838 O
0.500 0.000 0.000 O
0.000 0.500 0.327 O
0.000 0.500 0.500 Nb
0.500 0.000 0.500 Nb
0.500 0.500 0.336 Nb
0.500 0.500 0.000 Nb
0.500 0.500 0.664 Nb
0.000 0.000 0.169 Ba
0.000 0.000 0.831 Ba
```

Calculated values
Energy relative to the elements, uncorrected ... -3922.6 kJ/mol of formula units
Total magnetic moment ... 0.00 μB/f.u.
E_tot ... -146.30 eV/cell
SG ... P4/mmm, No. 123

---

# 5
Material: BaNb2O6
Method: DFT, PBEsol
State: relaxed

Cell and atoms, written as POSCAR:
```
BaNb2O6
1.0
7.290 -0.050 0.000
-3.063 6.616 0.000
0.000 0.000 10.338
Nb O Ba
8 24 4
direct
0.123 0.409 0.077 Nb
0.369 0.092 0.572 Nb
0.631 0.908 0.072 Nb
0.409 0.123 0.923 Nb
0.908 0.631 0.928 Nb
0.877 0.591 0.577 Nb
0.092 0.369 0.428 Nb
0.591 0.877 0.423 Nb
0.290 0.133 0.750 O
0.314 0.314 0.500 O
0.485 0.080 0.109 O
0.660 0.340 0.883 O
0.483 0.082 0.390 O
0.340 0.660 0.117 O
0.686 0.686 0.000 O
0.920 0.515 0.391 O
0.133 0.290 0.250 O
0.308 0.308 0.000 O
0.918 0.517 0.110 O
0.710 0.867 0.250 O
0.692 0.692 0.500 O
0.879 0.118 0.467 O
0.080 0.485 0.891 O
0.082 0.483 0.610 O
0.340 0.660 0.383 O
0.882 0.121 0.033 O
0.517 0.918 0.890 O
0.121 0.882 0.967 O
0.118 0.879 0.533 O
0.515 0.920 0.609 O
0.660 0.340 0.617 O
0.867 0.710 0.750 O
0.133 0.867 0.250 Ba
0.867 0.133 0.750 Ba
0.571 0.429 0.250 Ba
0.429 0.571 0.750 Ba
```

Calculated values
Energy relative to the elements, uncorrected ... -2386.1 kJ/mol of formula units
Total magnetic moment ... 0.00 μB/f.u.
E_tot ... -320.07 eV/cell
SG ... C222_1, No. 20

---

# 6
Material: Ba4Nb14O23
Method: DFT, PBEsol
State: relaxed

Cell and atoms, written as POSCAR:
```
Ba4Nb14O23
1.0
4.165 0.000 0.000
0.000 12.127 0.000
0.000 -5.731 10.687
Nb Ba O
14 4 23
direct
0.500 0.961 0.363 Nb
0.500 0.701 0.299 Nb
0.500 0.900 0.100 Nb
0.000 0.796 0.204 Nb
0.500 0.837 0.837 Nb
0.500 0.299 0.701 Nb
0.500 0.363 0.961 Nb
0.000 0.000 0.000 Nb
0.500 0.163 0.163 Nb
0.500 0.039 0.637 Nb
0.000 0.204 0.796 Nb
0.500 0.637 0.039 Nb
0.500 0.100 0.900 Nb
0.500 0.500 0.500 Nb
0.000 0.568 0.771 Ba
0.000 0.771 0.568 Ba
0.000 0.229 0.432 Ba
0.000 0.432 0.229 Ba
0.000 0.829 0.829 O
0.000 0.171 0.171 O
0.500 0.404 0.596 O
0.000 0.970 0.365 O
0.000 0.500 0.500 O
0.000 0.365 0.970 O
0.500 0.070 0.270 O
0.000 0.695 0.305 O
0.500 0.469 0.863 O
0.000 0.030 0.635 O
0.000 0.101 0.899 O
0.000 0.635 0.030 O
0.500 0.663 0.663 O
0.500 0.337 0.337 O
0.000 0.305 0.695 O
0.000 0.899 0.101 O
0.500 0.730 0.930 O
0.500 0.863 0.469 O
0.500 0.531 0.137 O
0.500 0.930 0.730 O
0.500 0.596 0.404 O
0.500 0.270 0.070 O
0.500 0.137 0.531 O
```

Calculated values
Energy relative to the elements, uncorrected ... -9786.9 kJ/mol of formula units
Total magnetic moment ... 0.00 μB/f.u.
E_tot ... -382.26 eV/cell
SG ... Cmmm, No. 65

---

# 7
Material: BaNb5O8
Method: DFT, PBEsol
State: relaxed

Cell and atoms, written as POSCAR:
```
BaNb5O8
1.0
-0.832 3.707 1.625
-6.032 -2.111 1.726
2.378 -2.024 5.836
O Nb Ba
8 5 1
direct
0.500 0.701 0.099 O
0.500 0.099 0.299 O
0.000 0.613 0.797 O
0.500 0.299 0.901 O
0.000 0.203 0.613 O
0.000 0.797 0.387 O
0.500 0.901 0.701 O
0.000 0.387 0.203 O
0.500 0.790 0.402 Nb
0.500 0.598 0.790 Nb
0.500 0.210 0.598 Nb
0.500 0.402 0.210 Nb
0.000 0.500 0.500 Nb
0.000 0.000 0.000 Ba
```

Calculated values
Energy relative to the elements, uncorrected ... -3304.3 kJ/mol of formula units
Total magnetic moment ... 0.00 μB/f.u.
E_tot ... -132.50 eV/cell
SG ... P4/m, No. 83

---

# 8
Material: BaNb7O9
Method: DFT, PBEsol
State: relaxed

Cell and atoms, written as POSCAR:
```
BaNb7O9
1.0
4.205 0.000 0.000
0.000 4.205 0.000
0.000 0.000 12.432
Nb O Ba
7 9 1
direct
0.500 0.500 0.168 Nb
0.500 0.500 0.832 Nb
0.500 0.000 0.671 Nb
0.500 0.500 0.500 Nb
0.000 0.500 0.329 Nb
0.000 0.500 0.671 Nb
0.500 0.000 0.329 Nb
0.000 0.500 0.840 O
0.500 0.000 0.500 O
0.000 0.500 0.160 O
0.000 0.000 0.665 O
0.500 0.000 0.840 O
0.000 0.500 0.500 O
0.500 0.000 0.160 O
0.500 0.500 0.000 O
0.000 0.000 0.335 O
0.000 0.000 0.000 Ba
```

Calculated values
Energy relative to the elements, uncorrected ... -3717.4 kJ/mol of formula units
Total magnetic moment ... 0.00 μB/f.u.
E_tot ... -163.67 eV/cell
SG ... P4/mmm, No. 123